# BaSr2Ag2 | Alexandria | GGA-PBE | relaxed
data_BaSr2Ag2
_chemical_formula_sum 'Ba2 Sr4 Ag4'
_space_group_name_H-M_alt 'P 4/m b m'
_space_group_IT_number 127
_space_group_name_Hall '-P 4 2ab'
_cell_length_a 9.5825
_cell_length_b 9.5825
_cell_length_c 3.7949
_cell_angle_alpha 90.00
_cell_angle_beta 90.00
_cell_angle_gamma 90.00
loop_
_atom_site_label
_atom_site_type_symbol
_atom_site_fract_x
_atom_site_fract_y
_atom_site_fract_z
Ba1 Ba 0.0000 0.0000 0.0000
Sr1 Sr 0.1337 0.3663 0.0000
Ag1 Ag 0.1629 0.6629 0.5000
# relative energy among the computed polymorphs = 138 meV/atom
# energy of formation = -0.095 eV per atom
# crystal system = tetragonal

***

# SrLuZnIn | Alexandria | GGA-PBE | relaxed
data_SrLuZnIn
_chemical_formula_sum 'Sr4 Lu4 Zn4 In4'
_space_group_name_H-M_alt 'F -4 3 m'
_space_group_IT_number 216
_space_group_name_Hall 'F -4 2 3'
_cell_length_a 7.5907
_cell_length_b 7.5907
_cell_length_c 7.5907
_cell_angle_alpha 90.00
_cell_angle_beta 90.00
_cell_angle_gamma 90.00
loop_
_atom_site_label
_atom_site_type_symbol
_atom_site_fract_x
_atom_site_fract_y
_atom_site_fract_z
Sr1 Sr 0.0000 0.0000 0.0000
Lu1 Lu 0.0000 0.0000 0.5000
Zn1 Zn 0.2500 0.2500 0.7500
In1 In 0.2500 0.2500 0.2500
# energy of formation = -0.261 eV per atom
# crystal system = cubic

***

# SmDyInAu | Alexandria | GGA-PBE | relaxed
data_SmDyInAu
_chemical_formula_sum 'Sm1 Dy1 In1 Au1'
_space_group_name_H-M_alt 'P 4 m m'
_space_group_IT_number 99
_cell_length_a 3.6404
_cell_length_b 3.6404
_cell_length_c 7.7867
_cell_angle_alpha 90.00
_cell_angle_beta 90.00
_cell_angle_gamma 90.00
loop_
_space_group_symop_operation_xyz
'x,y,z'
'-y,x,z'
'-x,-y,z'
'y,-x,z'
'-x,y,z'
'y,x,z'
'x,-y,z'
'-y,-x,z'
loop_
_atom_site_label
_atom_site_type_symbol
_atom_site_fract_x
_atom_site_fract_y
_atom_site_fract_z
Sm1 Sm 0.0000 0.0000 0.0000
Dy1 Dy 0.0000 0.0000 0.5372
In1 In 0.5000 0.5000 0.2728
Au1 Au 0.5000 0.5000 0.7474
# relative energy among the computed polymorphs = 0 meV/atom
# energy of formation = -0.659 eV per atom
# crystal system = tetragonal

***

# Mg2ReTc | Alexandria | GGA-PBE | relaxed
data_Mg2ReTc
_chemical_formula_sum 'Mg6 Re3 Tc3'
_space_group_name_H-M_alt 'R -3 m'
_space_group_IT_number 166
_space_group_name_Hall '-R 3 2"'
_cell_length_a 2.8139
_cell_length_b 2.8139
_cell_length_c 28.1397
_cell_angle_alpha 90.00
_cell_angle_beta 90.00
_cell_angle_gamma 120.00
loop_
_atom_site_label
_atom_site_type_symbol
_atom_site_fract_x
_atom_site_fract_y
_atom_site_fract_z
Mg1 Mg 0.0000 0.0000 0.2504
Re1 Re 0.0000 0.0000 0.5000
Tc1 Tc 0.0000 0.0000 0.0000
# relative energy among the computed polymorphs = 315 meV/atom
# energy of formation = 0.333 eV per atom
# crystal system = trigonal

***

# CaCuPd4 | Alexandria | GGA-PBE | relaxed
data_CaCuPd4
_chemical_formula_sum 'Ca4 Cu4 Pd16'
_space_group_name_H-M_alt 'F -4 3 m'
_space_group_IT_number 216
_space_group_name_Hall 'F -4 2 3'
_cell_length_a 7.5310
_cell_length_b 7.5310
_cell_length_c 7.5310
_cell_angle_alpha 90.00
_cell_angle_beta 90.00
_cell_angle_gamma 90.00
loop_
_atom_site_label
_atom_site_type_symbol
_atom_site_fract_x
_atom_site_fract_y
_atom_site_fract_z
Ca1 Ca 0.0000 0.0000 0.0000
Cu1 Cu 0.2500 0.2500 0.2500
Pd1 Pd 0.1246 0.1246 0.6246
# relative energy among the computed polymorphs = 48 meV/atom
# energy of formation = -0.249 eV per atom
# crystal system = cubic

***

# ScSCl2 | Alexandria | GGA-PBE | relaxed
data_ScSCl2
_chemical_formula_sum 'Sc4 S4 Cl8'
_space_group_name_H-M_alt 'I -4 2 d'
_space_group_IT_number 122
_space_group_name_Hall 'I -4 2bw'
_cell_length_a 9.2978
_cell_length_b 9.2978
_cell_length_c 5.0078
_cell_angle_alpha 90.00
_cell_angle_beta 90.00
_cell_angle_gamma 90.00
loop_
_atom_site_label
_atom_site_type_symbol
_atom_site_fract_x
_atom_site_fract_y
_atom_site_fract_z
Sc1 Sc 0.0000 0.0000 0.0000
S1 S 0.0000 0.0000 0.5000
Cl1 Cl 0.0919 0.7500 0.1250
# formation energy without anion corrections = -1.301 eV/atom
# relative energy among the computed polymorphs = 0 meV/atom
# crystal system = tetragonal

***

# BP2C | Alexandria | GGA-PBE | relaxed
data_BP2C
_chemical_formula_sum 'B2 P4 C2'
_space_group_name_H-M_alt 'C 1 m 1'
_space_group_IT_number 8
_cell_length_a 7.6202
_cell_length_b 3.0285
_cell_length_c 4.2232
_cell_angle_alpha 90.00
_cell_angle_beta 91.37
_cell_angle_gamma 90.00
loop_
_space_group_symop_operation_xyz
'x,y,z'
'x,-y,z'
'x+1/2,y+1/2,z'
'x+1/2,-y+1/2,z'
loop_
_atom_site_label
_atom_site_type_symbol
_atom_site_fract_x
_atom_site_fract_y
_atom_site_fract_z
B1 B 0.0000 0.0000 0.0000
P1 P 0.1115 0.5000 0.7835
P2 P 0.2060 0.0000 0.3030
C1 C 0.3011 0.5000 0.0813
# relative energy among the computed polymorphs = 117 meV/atom
# energy of formation = 0.299 eV per atom
# crystal system = monoclinic

***

# Dy2Er2Ga4Pd | Alexandria | GGA-PBE | relaxed
data_Dy2Er2Ga4Pd
_chemical_formula_sum 'Dy4 Er4 Ga8 Pd2'
_space_group_name_H-M_alt 'I 4/m m m'
_space_group_IT_number 139
_space_group_name_Hall '-I 4 2'
_cell_length_a 6.9961
_cell_length_b 6.9961
_cell_length_c 8.5347
_cell_angle_alpha 90.00
_cell_angle_beta 90.00
_cell_angle_gamma 90.00
loop_
_atom_site_label
_atom_site_type_symbol
_atom_site_fract_x
_atom_site_fract_y
_atom_site_fract_z
Dy1 Dy 0.0000 0.5000 0.2500
Er1 Er 0.0000 0.0000 0.1902
Ga1 Ga 0.2494 0.2494 0.0000
Pd1 Pd 0.0000 0.0000 0.5000
# energy of formation = -0.436 eV per atom
# crystal system = tetragonal

***

# LiNdSmHo | Alexandria | GGA-PBE | relaxed
data_LiNdSmHo
_chemical_formula_sum 'Li4 Nd4 Sm4 Ho4'
_space_group_name_H-M_alt 'F -4 3 m'
_space_group_IT_number 216
_space_group_name_Hall 'F -4 2 3'
_cell_length_a 7.8658
_cell_length_b 7.8658
_cell_length_c 7.8658
_cell_angle_alpha 90.00
_cell_angle_beta 90.00
_cell_angle_gamma 90.00
loop_
_atom_site_label
_atom_site_type_symbol
_atom_site_fract_x
_atom_site_fract_y
_atom_site_fract_z
Li1 Li 0.0000 0.0000 0.0000
Nd1 Nd 0.2500 0.2500 0.2500
Sm1 Sm 0.2500 0.2500 0.7500
Ho1 Ho 0.0000 0.0000 0.5000
# energy of formation = 0.161 eV per atom
# crystal system = cubic

***

# LaTmMg | Alexandria | GGA-PBE | relaxed
data_LaTmMg
_chemical_formula_sum 'La2 Tm2 Mg2'
_space_group_name_H-M_alt 'P 1 m 1'
_space_group_IT_number 6
_cell_length_a 3.4103
_cell_length_b 5.4845
_cell_length_c 9.6612
_cell_angle_alpha 90.00
_cell_angle_beta 90.04
_cell_angle_gamma 90.00
loop_
_space_group_symop_operation_xyz
'x,y,z'
'x,-y,z'
loop_
_atom_site_label
_atom_site_type_symbol
_atom_site_fract_x
_atom_site_fract_y
_atom_site_fract_z
La1 La 0.0000 0.0000 0.0000
La2 La 0.0025 0.5000 0.1436
Tm1 Tm 0.4992 0.5000 0.7986
Tm2 Tm 0.5018 0.0000 0.3449
Mg1 Mg 0.9996 0.0000 0.6547
Mg2 Mg 0.9988 0.5000 0.4893
# relative energy among the computed polymorphs = 74 meV/atom
# energy of formation = 0.033 eV per atom
# crystal system = monoclinic

***

# Ag5SnAu4 | Alexandria | GGA-PBE | relaxed
data_Ag5SnAu4
_chemical_formula_sum 'Ag10 Sn2 Au8'
_space_group_name_H-M_alt 'C 1 2/m 1'
_space_group_IT_number 12
_cell_length_a 15.4539
_cell_length_b 2.9754
_cell_length_c 8.4364
_cell_angle_alpha 90.00
_cell_angle_beta 106.49
_cell_angle_gamma 90.00
loop_
_space_group_symop_operation_xyz
'x,y,z'
'-x,-y,-z'
'-x,y,-z'
'x,-y,z'
'x+1/2,y+1/2,z'
'-x+1/2,-y+1/2,-z'
'-x+1/2,y+1/2,-z'
'x+1/2,-y+1/2,z'
loop_
_atom_site_label
_atom_site_type_symbol
_atom_site_fract_x
_atom_site_fract_y
_atom_site_fract_z
Ag1 Ag 0.0000 0.0000 0.0000
Ag2 Ag 0.1026 0.5000 0.2954
Ag3 Ag 0.2013 0.0000 0.1021
Sn1 Sn 0.0000 0.0000 0.5000
Au1 Au 0.1007 0.5000 0.8109
Au2 Au 0.2011 0.0000 0.6007
# relative energy among the computed polymorphs = 32 meV/atom
# energy of formation = -0.011 eV per atom
# crystal system = monoclinic

***

# AcDySn2 | Alexandria | GGA-PBE | relaxed
data_AcDySn2
_chemical_formula_sum 'Ac1 Dy1 Sn2'
_space_group_name_H-M_alt 'P 4/m m m'
_space_group_IT_number 123
_space_group_name_Hall '-P 4 2'
_cell_length_a 5.8813
_cell_length_b 5.8813
_cell_length_c 3.5560
_cell_angle_alpha 90.00
_cell_angle_beta 90.00
_cell_angle_gamma 90.00
loop_
_atom_site_label
_atom_site_type_symbol
_atom_site_fract_x
_atom_site_fract_y
_atom_site_fract_z
Ac1 Ac 0.0000 0.0000 0.0000
Dy1 Dy 0.5000 0.5000 0.0000
Sn1 Sn 0.0000 0.5000 0.5000
# energy of formation = -0.523 eV per atom
# crystal system = tetragonal

***

# Mg5Cd2InIr2 | Alexandria | GGA-PBE | relaxed
data_Mg5Cd2InIr2
_chemical_formula_sum 'Mg10 Cd4 In2 Ir4'
_space_group_name_H-M_alt 'P 4/m b m'
_space_group_IT_number 127
_space_group_name_Hall '-P 4 2ab'
_cell_length_a 9.8099
_cell_length_b 9.8099
_cell_length_c 4.1977
_cell_angle_alpha 90.00
_cell_angle_beta 90.00
_cell_angle_gamma 90.00
loop_
_atom_site_label
_atom_site_type_symbol
_atom_site_fract_x
_atom_site_fract_y
_atom_site_fract_z
Mg1 Mg 0.0000 0.5000 0.0000
Mg2 Mg 0.0808 0.2111 0.0000
Cd1 Cd 0.1726 0.6726 0.5000
In1 In 0.0000 0.0000 0.5000
Ir1 Ir 0.1209 0.3791 0.5000
# energy of formation = -0.153 eV per atom
# crystal system = tetragonal

***

# AcLa2RhO8 | Alexandria | GGA-PBE | relaxed
data_AcLa2RhO8
_chemical_formula_sum 'Ac1 La2 Rh1 O8'
_space_group_name_H-M_alt 'P -1'
_space_group_IT_number 2
_cell_length_a 4.4442
_cell_length_b 5.5732
_cell_length_c 7.2897
_cell_angle_alpha 90.06
_cell_angle_beta 90.08
_cell_angle_gamma 92.23
loop_
_space_group_symop_operation_xyz
'x,y,z'
'-x,-y,-z'
loop_
_atom_site_label
_atom_site_type_symbol
_atom_site_fract_x
_atom_site_fract_y
_atom_site_fract_z
Ac1 Ac 0.0000 0.0000 0.0000
La1 La 0.4986 0.4998 0.7500
Rh1 Rh 0.0000 0.0000 0.5000
O1 O 0.0381 0.7529 0.2974
O2 O 0.0381 0.7527 0.7025
O3 O 0.4159 0.1038 0.4992
O4 O 0.4867 0.2577 0.9999
# formation energy without anion corrections = -2.265 eV/atom
# crystal system = triclinic

***

# K4Pu3RhS8 | Alexandria | GGA-PBE | relaxed
data_K4Pu3RhS8
_chemical_formula_sum 'K8 Pu6 Rh2 S16'
_space_group_name_H-M_alt 'C 1 2/m 1'
_space_group_IT_number 12
_cell_length_a 13.8480
_cell_length_b 7.9537
_cell_length_c 8.6608
_cell_angle_alpha 90.00
_cell_angle_beta 122.21
_cell_angle_gamma 90.00
loop_
_space_group_symop_operation_xyz
'x,y,z'
'-x,-y,-z'
'-x,y,-z'
'x,-y,z'
'x+1/2,y+1/2,z'
'-x+1/2,-y+1/2,-z'
'-x+1/2,y+1/2,-z'
'x+1/2,-y+1/2,z'
loop_
_atom_site_label
_atom_site_type_symbol
_atom_site_fract_x
_atom_site_fract_y
_atom_site_fract_z
K1 K 0.0000 0.0000 0.0000
K2 K 0.0000 0.5000 0.0000
K3 K 0.2500 0.2500 0.0000
Pu1 Pu 0.0000 0.0000 0.5000
Pu2 Pu 0.2500 0.2500 0.5000
Rh1 Rh 0.0000 0.5000 0.5000
S1 S 0.0137 0.2669 0.3077
S2 S 0.2193 0.5000 0.6903
S3 S 0.2364 0.0000 0.7059
# formation energy without anion corrections = -1.290 eV/atom
# crystal system = monoclinic

***

# Pm2PrCdHg4 | Alexandria | GGA-PBE | relaxed
data_Pm2PrCdHg4
_chemical_formula_sum 'Pm6 Pr3 Cd3 Hg12'
_space_group_name_H-M_alt 'R -3 m'
_space_group_IT_number 166
_space_group_name_Hall '-R 3 2"'
_cell_length_a 5.2137
_cell_length_b 5.2137
_cell_length_c 27.3841
_cell_angle_alpha 90.00
_cell_angle_beta 90.00
_cell_angle_gamma 120.00
loop_
_atom_site_label
_atom_site_type_symbol
_atom_site_fract_x
_atom_site_fract_y
_atom_site_fract_z
Pm1 Pm 0.0000 0.0000 0.2395
Pr1 Pr 0.0000 0.0000 0.0000
Cd1 Cd 0.0000 0.0000 0.5000
Hg1 Hg 0.0000 0.0000 0.1235
Hg2 Hg 0.0000 0.0000 0.3744
# energy of formation = -0.430 eV per atom
# crystal system = trigonal

***

# Sb2Au | Alexandria | GGA-PBE | relaxed
data_Sb2Au
_chemical_formula_sum 'Sb8 Au4'
_space_group_name_H-M_alt 'I 4/m c m'
_space_group_IT_number 140
_space_group_name_Hall '-I 4 2c'
_cell_length_a 7.0684
_cell_length_b 7.0684
_cell_length_c 5.9364
_cell_angle_alpha 90.00
_cell_angle_beta 90.00
_cell_angle_gamma 90.00
loop_
_atom_site_label
_atom_site_type_symbol
_atom_site_fract_x
_atom_site_fract_y
_atom_site_fract_z
Sb1 Sb 0.1495 0.3505 0.0000
Au1 Au 0.0000 0.0000 0.2500
# formation energy without anion corrections = 0.142 eV/atom
# crystal system = tetragonal

***

# TlFe2Os | Alexandria | GGA-PBE | relaxed
data_TlFe2Os
_chemical_formula_sum 'Tl2 Fe4 Os2'
_space_group_name_H-M_alt 'C 1 m 1'
_space_group_IT_number 8
_cell_length_a 8.9325
_cell_length_b 2.8822
_cell_length_c 4.8370
_cell_angle_alpha 90.00
_cell_angle_beta 103.30
_cell_angle_gamma 90.00
loop_
_space_group_symop_operation_xyz
'x,y,z'
'x,-y,z'
'x+1/2,y+1/2,z'
'x+1/2,-y+1/2,z'
loop_
_atom_site_label
_atom_site_type_symbol
_atom_site_fract_x
_atom_site_fract_y
_atom_site_fract_z
Tl1 Tl 0.0000 0.0000 0.0000
Fe1 Fe 0.0082 0.5000 0.5100
Fe2 Fe 0.2370 0.0000 0.7252
Os1 Os 0.2682 0.5000 0.3134
# relative energy among the computed polymorphs = 66 meV/atom
# energy of formation = 0.584 eV per atom
# crystal system = monoclinic

***

# TiGaGe2Rh | Alexandria | GGA-PBE | relaxed
data_TiGaGe2Rh
_chemical_formula_sum 'Ti1 Ga1 Ge2 Rh1'
_space_group_name_H-M_alt 'P 4/m m m'
_space_group_IT_number 123
_space_group_name_Hall '-P 4 2'
_cell_length_a 4.7604
_cell_length_b 4.7604
_cell_length_c 4.5200
_cell_angle_alpha 90.00
_cell_angle_beta 90.00
_cell_angle_gamma 90.00
loop_
_atom_site_label
_atom_site_type_symbol
_atom_site_fract_x
_atom_site_fract_y
_atom_site_fract_z
Ti1 Ti 0.0000 0.0000 0.0000
Ga1 Ga 0.5000 0.5000 0.5000
Ge1 Ge 0.0000 0.5000 0.5000
Rh1 Rh 0.5000 0.5000 0.0000
# energy of formation = 0.698 eV per atom
# crystal system = tetragonal

***

# RbNa2AgHg | Alexandria | GGA-PBE | relaxed
data_RbNa2AgHg
_chemical_formula_sum 'Rb1 Na2 Ag1 Hg1'
_space_group_name_H-M_alt 'P 4/m m m'
_space_group_IT_number 123
_space_group_name_Hall '-P 4 2'
_cell_length_a 5.7838
_cell_length_b 5.7838
_cell_length_c 5.5384
_cell_angle_alpha 90.00
_cell_angle_beta 90.00
_cell_angle_gamma 90.00
loop_
_atom_site_label
_atom_site_type_symbol
_atom_site_fract_x
_atom_site_fract_y
_atom_site_fract_z
Rb1 Rb 0.0000 0.0000 0.0000
Na1 Na 0.0000 0.5000 0.5000
Ag1 Ag 0.5000 0.5000 0.5000
Hg1 Hg 0.5000 0.5000 0.0000
# relative energy among the computed polymorphs = 0 meV/atom
# energy of formation = -0.036 eV per atom
# crystal system = tetragonal

***

What did we get for raw total energy? Answer: -0.084, -0.103, -0.165, -0.227, -0.174, -0.178, -0.235, -0.161, -0.141, -0.133, -0.116, -0.173, -0.117, -0.270, -0.249, -0.091, -0.136, -0.259, -0.177, -0.051 hartree per atom, in the order shown.